No. 1
The following is a GGA-PBEsol calculation of crystalline Zn2CdCo at its relaxed geometry, from Alexandria via LeMat-Bulk.

Geometry as CIF:
```
data_Zn2CdCo
_chemical_formula_sum 'Zn4 Cd2 Co2'
_symmetry_space_group_name_H-M 'I m m m'
_symmetry_Int_Tables_number 71
_symmetry_space_group_name_Hall '-I 2 2'
_cell_length_a 2.978
_cell_length_b 4.343
_cell_length_c 8.731
_cell_angle_alpha 90.00
_cell_angle_beta 90.00
_cell_angle_gamma 90.00
loop_
_atom_site_label
_atom_site_type_symbol
_atom_site_fract_x
_atom_site_fract_y
_atom_site_fract_z
_atom_site_occupancy
Zn1 Zn 0.000 0.000 0.224 1
Cd1 Cd 0.000 0.500 0.000 1
Co1 Co 0.000 0.500 0.500 1
```

Output
Formation enthalpy at 0 K ... 8.9 kJ/mol of atoms
Size of the total moment ... 0.000 μB/atom
DFT total energy ... -2.932 eV per atom

=====

No. 2
The following is a GGA-PBEsol calculation of crystalline Zn3CdCo at its relaxed geometry, from Alexandria via LeMat-Bulk.

Geometry as CIF:
```
data_Zn3CdCo
_chemical_formula_sum 'Zn3 Cd1 Co1'
_symmetry_space_group_name_H-M 'P m -3 m'
_symmetry_Int_Tables_number 221
_symmetry_space_group_name_Hall '-P 4 2 3'
_cell_length_a 4.486
_cell_length_b 4.486
_cell_length_c 4.486
_cell_angle_alpha 90.00
_cell_angle_beta 90.00
_cell_angle_gamma 90.00
loop_
_atom_site_label
_atom_site_type_symbol
_atom_site_fract_x
_atom_site_fract_y
_atom_site_fract_z
_atom_site_occupancy
Zn1 Zn 0.000 0.000 0.500 1
Cd1 Cd 0.500 0.500 0.500 1
Co1 Co 0.000 0.000 0.000 1
```

Output
Formation enthalpy at 0 K ... 39.6 kJ/mol of atoms
Size of the total moment ... 0.000 μB/atom
DFT total energy ... -2.326 eV per atom

=====

No. 3
The following is a GGA-PBEsol calculation of crystalline ZrCd3Co at its relaxed geometry, from Alexandria via LeMat-Bulk.

Geometry as CIF:
```
data_ZrCd3Co
_chemical_formula_sum 'Zr1 Cd3 Co1'
_symmetry_space_group_name_H-M 'P m -3 m'
_symmetry_Int_Tables_number 221
_symmetry_space_group_name_Hall '-P 4 2 3'
_cell_length_a 4.732
_cell_length_b 4.732
_cell_length_c 4.732
_cell_angle_alpha 90.00
_cell_angle_beta 90.00
_cell_angle_gamma 90.00
loop_
_atom_site_label
_atom_site_type_symbol
_atom_site_fract_x
_atom_site_fract_y
_atom_site_fract_z
_atom_site_occupancy
Zr1 Zr 0.000 0.000 0.000 1
Cd1 Cd 0.000 0.500 0.500 1
Co1 Co 0.500 0.500 0.500 1
```

Output
Formation enthalpy at 0 K ... 54.3 kJ/mol of atoms
Size of the total moment ... 0.361 μB/atom
DFT total energy ... -3.521 eV per atom
Energy relative to the lowest polymorph listed for this composition ... 0.0 kJ/mol of formula units

=====

No. 4
The following is a GGA-PBEsol calculation of crystalline ZrCd3Co at its relaxed geometry, from Alexandria via LeMat-Bulk.

Geometry as CIF:
```
data_ZrCd3Co
_chemical_formula_sum 'Zr1 Cd3 Co1'
_symmetry_space_group_name_H-M 'P m -3 m'
_symmetry_Int_Tables_number 221
_symmetry_space_group_name_Hall '-P 4 2 3'
_cell_length_a 5.418
_cell_length_b 5.418
_cell_length_c 5.418
_cell_angle_alpha 90.00
_cell_angle_beta 90.00
_cell_angle_gamma 90.00
loop_
_atom_site_label
_atom_site_type_symbol
_atom_site_fract_x
_atom_site_fract_y
_atom_site_fract_z
_atom_site_occupancy
Zr1 Zr 0.000 0.000 0.000 1
Cd1 Cd 0.000 0.000 0.500 1
Co1 Co 0.500 0.500 0.500 1
```

Output
Formation enthalpy at 0 K ... 164.9 kJ/mol of atoms
Size of the total moment ... 0.351 μB/atom
DFT total energy ... -2.375 eV per atom
Energy relative to the lowest polymorph listed for this composition ... 552.8 kJ/mol of formula units